A plane-wave DFT calculation with GGA-PBE was carried out for a relaxed structure of BaTaH.

Summary:
**N(E_F)**: 1.94 states/eV/f.u.
**Spin magnetization**: 0.00 μB per formula unit
**Raw total energy**: -33.44 eV per cell
**SG**: Cm, No. 8

a = 20.534 Å, b = 10.485 Å, c = 10.485 Å
α = 160.08°, β = 165.59°, γ = 14.41°
Sites, in units of the cell vectors:
Ba  0.196  0.480  0.520
Ba  0.989  0.495  0.505
Ta  0.865  0.445  0.555
Ta  0.413  0.445  0.555
H  0.469  0.484  0.516
H  0.664  0.116  0.884